The following is a DFT calculation (GGA+U) of a relaxed structure of Mg2ZnFeO4.

Unit cell a=6.076 b=6.080 c=6.090 alpha=119.80 beta=119.69 gamma=89.95
Sites, in units of the cell vectors:
O (0.260, 0.765, 0.511)
O (0.255, 0.243, 0.995)
Mg (0.500, 0.500, 0.000)
Mg (0.500, 0.000, 0.500)
Zn (0.500, 0.500, 0.500)
O (0.248, 0.252, 0.507)
Mg (0.500, 0.000, 0.000)
Zn (0.000, 0.000, 0.000)
Fe (0.000, 0.500, 0.500)
O (0.259, 0.753, 0.014)
Mg (0.000, 0.000, 0.500)
O (0.741, 0.247, 0.986)
O (0.745, 0.757, 0.005)
O (0.740, 0.235, 0.489)
Fe (0.000, 0.500, 0.000)
O (0.752, 0.748, 0.493)

Computed properties:
- space group = No. 2
- calculated volume (Å³/atom) = 10.02
- uncorrected energy (eV per atom) = -5.7595
- D(E_F) (states/eV/f.u.) = 0.00